Entry 1:
VASP calculation (PBE-GGA) on an optimized crystal structure of Sc2CdP.

Output
**Formation energy**: -2.314 eV/f.u.

Cell: 3.4020 3.5464 14.9473 Å, 90.00 90.00 90.00°
Space group Imm2 (No. 44)
Unique sites:
Sc (0.0000, 0.0000, 0.0000) [2 per cell]
Sc (0.0000, 0.5000, 0.1970) [2 per cell]
Cd (0.0000, 0.0000, 0.3750) [2 per cell]
P (0.0000, 0.5000, 0.6333) [2 per cell]

---

Entry 2:
VASP calculation (PBE-GGA) on an optimized crystal structure of NiGe3C.

Output
**Formation energy**: 6.645 eV/f.u.

Cell: 4.4805 4.4805 4.4805 Å, 90.00 90.00 90.00°
Space group Pm-3m (No. 221)
Unique sites:
Ni (0.0000, 0.0000, 0.0000) [1 per cell]
Ge (0.0000, 0.0000, 0.5000) [3 per cell]
C (0.5000, 0.5000, 0.5000) [1 per cell]

---

Entry 3:
VASP calculation (PBE-GGA) on an optimized crystal structure of Nd2Sm3Ge4.

Output
**Formation energy**: -7.471 eV/f.u.

Cell: 8.0058 8.0475 7.7310 Å, 90.00 108.84 90.00°
Space group P2_1/c (No. 14)
Unique sites:
Nd (0.1967, 0.1818, 0.0766) [4 per cell]
Sm (0.2435, 0.6725, 0.2480) [4 per cell]
Sm (0.5000, 0.0000, 0.5000) [2 per cell]
Ge (0.0830, 0.5346, 0.8538) [4 per cell]
Ge (0.4880, 0.1295, 0.8698) [4 per cell]

---

Entry 4:
VASP calculation (PBE-GGA) on an optimized crystal structure of Li3GaSn.

Output
**Formation energy**: -1.485 eV/f.u.

Cell: 6.0447 4.3348 6.8563 Å, 90.00 95.03 90.00°
Space group P2_1/m (No. 11)
Unique sites:
Li (0.0335, 0.2500, 0.3216) [2 per cell]
Li (0.2470, 0.2500, 0.7488) [2 per cell]
Li (0.4490, 0.2500, 0.1583) [2 per cell]
Ga (0.1503, 0.7500, 0.0366) [2 per cell]
Sn (0.3162, 0.7500, 0.4411) [2 per cell]

---

Entry 5:
VASP calculation (PBE-GGA) on an optimized crystal structure of KTa4Te.

Output
**Energy relative to the elements, uncorrected**: 1000 meV/atom

Cell: 8.1913 8.1913 8.1913 Å, 90.00 90.00 90.00°
Space group F-43m (No. 216)
Unique sites:
K (0.0000, 0.0000, 0.0000) [4 per cell]
Ta (0.1324, 0.1324, 0.6324) [16 per cell]
Te (0.2500, 0.2500, 0.2500) [4 per cell]

---

Entry 6:
VASP calculation (PBE-GGA) on an optimized crystal structure of TbSc5Cd3.

Output
**Formation energy**: -1.523 eV/f.u.

Cell: 8.7263 8.7263 6.5197 Å, 90.00 90.00 120.00°
Space group P6_3/mcm (No. 193)
Unique sites:
Tb (0.0000, 0.0000, 0.0000) [2 per cell]
Sc (0.0000, 0.3394, 0.2500) [6 per cell]
Sc (0.3333, 0.6667, 0.0000) [4 per cell]
Cd (0.0000, 0.3345, 0.7500) [6 per cell]

---

no.,theoretical density (Mg/m³),spin magnetization (μB per formula unit)
1,4.30,0.00
2,5.33,0.00
3,7.26,0.00
4,3.88,0.00
5,10.76,0.00
6,5.57,0.00